[1]
A geometry-optimized VPdPtAu structure, computed with PBE.

Unit cell a=4.4774 b=4.4774 c=4.4774 alpha=60.00 beta=60.00 gamma=60.00
Each line ends with the local moment (μB).
Element x y z (fractional)
Au  0.5000  0.5000  0.5000  -0.02
V  0.0000  0.0000  0.0000  1.42
Pt  0.7500  0.7500  0.7500  0.05
Pd  0.2500  0.2500  0.2500  0.11

The energy above the most stable polymorph in this dataset is 173.2 meV per atom. The energy relative to the elements is -0.1115 eV/atom. The space group is F-43m. The calculation puts the magnetization at 1.7 μB/f.u. The value obtained for the calculated total energy is -6.02 eV/atom.

=====

[2]
A geometry-optimized V2NiBr structure, computed with PBE.

Unit cell a=4.2666 b=4.2666 c=4.2666 alpha=60.00 beta=60.00 gamma=60.00
Element x y z (fractional)
V  0.2500  0.2500  0.2500
V  0.7500  0.7500  0.7500
Ni  0.0000  0.0000  0.0000
Br  0.5000  0.5000  0.5000

The energy above the most stable polymorph in this dataset is 0.0 meV per atom. The space group is Fm-3m. The value obtained for the uncorrected formation energy is 0.51 eV per atom. The calculation puts the magnetization at 0.0 μB/f.u. The value obtained for the calculated total energy is -5.91 eV/atom.

=====

[3]
A geometry-optimized GdTmN structure, computed with PBE.

Unit cell a=4.2369 b=4.2369 c=4.2369 alpha=60.00 beta=60.00 gamma=60.00
Each line ends with the local moment (μB).
Element x y z (fractional)
Tm  0.5000  0.5000  0.5000  0.28
N  0.2500  0.2500  0.2500  -0.07
Gd  0.0000  0.0000  0.0000  7.11

The energy above the most stable polymorph in this dataset is 731.4 meV per atom. The space group is F-43m. The value obtained for the uncorrected formation energy is -0.32 eV per atom. The calculation puts the magnetization at 7.3 μB/f.u. The value obtained for the calculated total energy is -9.28 eV/atom.

=====

[4]
A geometry-optimized Y3MgPt8 structure, computed with PBE.

Unit cell a=5.4157 b=5.4157 c=9.3735 alpha=73.21 beta=73.21 gamma=60.00
Element x y z (fractional)
Y  0.5051  0.5051  0.4846
Y  0.3774  0.3774  0.8678
Y  0.9936  0.9936  0.0191
Pt  0.4370  0.4370  0.1860
Pt  0.1882  0.1882  0.4354
Pt  0.9376  0.4380  0.6867
Pt  0.9376  0.9376  0.6867
Pt  0.6880  0.6880  0.9360
Pt  0.4380  0.9376  0.6867
Pt  0.4370  0.9400  0.1860
Pt  0.9400  0.4370  0.1860
Mg  0.8704  0.8704  0.3889

The energy relative to the elements is -1.0181 eV/atom. The space group is R3m. The calculation puts the magnetization at 0.0 μB/f.u. The value obtained for the calculated total energy is -6.79 eV/atom.

=====

Q: Look up the calculated total energy of the fourth one.
A: -6.79 eV/atom